Material: KCdMoRu2
Method: DFT, PBE-GGA
State: relaxed

Lattice parameters (Å, degrees): 4.682 5.849 4.682 90.00 90.00 90.00
Site moments in Bohr magnetons follow the coordinates.
Atoms (fractional coordinates):
Ru1 0.000 0.000 0.500  0.15
Ru2 0.500 0.000 0.000  0.09
Mo1 0.000 0.000 0.000  -0.04
K1 0.000 0.500 0.000  0.00
Cd1 0.500 0.500 0.500  0.00

Material: Ac4AlTlHg2
Method: DFT, PBE-GGA
State: relaxed

Lattice parameters (Å, degrees): 5.726 5.726 9.966 73.31 73.31 60.00
Atoms (fractional coordinates):
Ac1 0.378 0.378 0.865
Ac2 0.872 0.872 0.385
Ac3 0.128 0.128 0.615
Ac4 0.622 0.622 0.135
Al1 0.500 0.500 0.500
Tl1 0.000 0.000 0.000
Hg1 0.749 0.749 0.752
Hg2 0.251 0.251 0.248

Number 1: energy of formation from the pure elements 1466 meV/atom. Number 2: energy of formation from the pure elements -367 meV/atom.